12
Lattice="4.094 0.000 0.000 0.000 8.180 0.295 -2.047 -2.354 8.604" Properties=species:S:1:pos:R:3 comment="DyHo2Er3As6 GGA-PBE optimized geometry" energy_ev_per_atom=-6.14 dos_ef_per_ev_atom=0.1537 pbc="T T T"
Dy 2.047 0.000 0.000
Ho 2.047 3.885 5.931
Ho 0.000 1.941 2.968
Er 2.047 4.090 0.148
Er 2.047 -0.204 5.787
Er 0.000 6.031 3.113
As 0.000 5.937 5.997
As 2.047 3.992 3.036
As 2.047 -0.111 2.902
As 2.047 -0.296 8.675
As 0.000 6.122 0.224
As 0.000 1.834 5.864